First-principles (PBE-GGA) data for Sm2MnP4Rh3 after structural relaxation, as listed in Alexandria via LeMat-Bulk.

Output
Formation energy = -1.0159 eV/atom
Final energy = -72.46 eV/cell

Cell: 4.139 4.139 9.439 Å, 90.00 90.00 90.00°
Space group P-4m2 (No. 115)
Symmetry-distinct sites (fractional):
Sm: 0.000 0.500 0.242 (multiplicity 2)
Mn: 0.000 0.000 0.500 (multiplicity 1)
P: 0.000 0.000 0.000 (multiplicity 1)
P: 0.000 0.500 0.625 (multiplicity 2)
P: 0.500 0.500 0.000 (multiplicity 1)
Rh: 0.000 0.500 0.883 (multiplicity 2)
Rh: 0.500 0.500 0.500 (multiplicity 1)